Record 1
# MnMo3 | Alexandria | PBE-GGA | optimized geometry
data_MnMo3
_cell_length_a 5.3802
_cell_length_b 5.3802
_cell_length_c 4.3979
_cell_angle_alpha 90.00
_cell_angle_beta 90.00
_cell_angle_gamma 109.85
_space_group_name_H-M_alt 'P 1'
_space_group_IT_number 1
loop_
_space_group_symop_operation_xyz
'x,y,z'
loop_
_atom_site_label
_atom_site_type_symbol
_atom_site_fract_x
_atom_site_fract_y
_atom_site_fract_z
_atom_site_occupancy
Mn1 Mn 0.6178 0.3822 0.2500 1
Mn2 Mn 0.3822 0.6178 0.7500 1
Mo1 Mo 0.3771 0.1273 0.7500 1
Mo2 Mo 0.8718 0.1282 0.7500 1
Mo3 Mo 0.1273 0.3771 0.2500 1
Mo4 Mo 0.8727 0.6229 0.7500 1
Mo5 Mo 0.1282 0.8718 0.2500 1
Mo6 Mo 0.6229 0.8727 0.2500 1
# Total energy in eV/atom: -10.33
# Formation energy in meV per atom: 87
# Volume in Å³/cell: 119.7



Record 2
# KAgTe2 | Alexandria | PBE-GGA | optimized geometry
data_KAgTe2
_cell_length_a 5.9314
_cell_length_b 5.9314
_cell_length_c 10.2467
_cell_angle_alpha 73.18
_cell_angle_beta 73.18
_cell_angle_gamma 90.00
_space_group_name_H-M_alt 'P 1'
_space_group_IT_number 1
loop_
_space_group_symop_operation_xyz
'x,y,z'
loop_
_atom_site_label
_atom_site_type_symbol
_atom_site_fract_x
_atom_site_fract_y
_atom_site_fract_z
_atom_site_occupancy
K1 K 0.5000 0.5000 0.0000 1
K2 K 0.2500 0.7500 0.5000 1
Te1 Te 0.7999 0.1250 0.2500 1
Te2 Te 0.9501 0.6250 0.2500 1
Te3 Te 0.3750 0.2001 0.7500 1
Te4 Te 0.8750 0.0499 0.7500 1
Ag1 Ag 0.0000 0.0000 0.0000 1
Ag2 Ag 0.7500 0.2500 0.5000 1
# Total energy in eV/atom: -2.94
# Formation energy without anion corrections in eV per atom: -0.39
# Volume in Å³/cell: 328.9



Record 3
# KTi2Br7 | Alexandria | PBE-GGA | optimized geometry
data_KTi2Br7
_cell_length_a 5.0968
_cell_length_b 8.1124
_cell_length_c 8.1124
_cell_angle_alpha 117.14
_cell_angle_beta 90.00
_cell_angle_gamma 90.00
_space_group_name_H-M_alt 'P 1'
_space_group_IT_number 1
loop_
_space_group_symop_operation_xyz
'x,y,z'
loop_
_atom_site_label
_atom_site_type_symbol
_atom_site_fract_x
_atom_site_fract_y
_atom_site_fract_z
_atom_site_occupancy
K1 K 0.0000 0.0000 0.0000 1
Ti1 Ti 0.5000 0.6987 0.3013 1
Ti2 Ti 0.5000 0.3013 0.6987 1
Br1 Br 0.0000 0.6978 0.3022 1
Br2 Br 0.0000 0.3022 0.6978 1
Br3 Br 0.5000 0.0460 0.3300 1
Br4 Br 0.5000 0.9540 0.6700 1
Br5 Br 0.5000 0.3300 0.0460 1
Br6 Br 0.5000 0.6700 0.9540 1
Br7 Br 0.5000 0.5000 0.5000 1
# Total energy in eV/atom: -4.01
# Formation energy without anion corrections in eV per atom: -1.15
# Volume in Å³/cell: 298.5



Record 4
# PrTmSb2 | Alexandria | PBE-GGA | optimized geometry
data_PrTmSb2
_cell_length_a 4.4554
_cell_length_b 4.4554
_cell_length_c 7.6901
_cell_angle_alpha 89.95
_cell_angle_beta 106.87
_cell_angle_gamma 120.04
_space_group_name_H-M_alt 'P 1'
_space_group_IT_number 1
loop_
_space_group_symop_operation_xyz
'x,y,z'
loop_
_atom_site_label
_atom_site_type_symbol
_atom_site_fract_x
_atom_site_fract_y
_atom_site_fract_z
_atom_site_occupancy
Pr1 Pr 0.0000 0.5000 0.5000 1
Tm1 Tm 0.0000 0.0000 0.0000 1
Sb1 Sb 0.5096 0.2549 0.7645 1
Sb2 Sb 0.4904 0.7451 0.2355 1
# Total energy in eV/atom: -5.50
# Formation energy without anion corrections in eV per atom: -1.12
# Volume in Å³/cell: 124.5
# Energy above the most stable polymorph in this dataset in eV/atom: 0.000



Record 5
# Zr5Be3 | Alexandria | PBE-GGA | optimized geometry
data_Zr5Be3
_cell_length_a 5.8147
_cell_length_b 5.8147
_cell_length_c 4.3630
_cell_angle_alpha 90.00
_cell_angle_beta 90.00
_cell_angle_gamma 102.82
_space_group_name_H-M_alt 'P 1'
_space_group_IT_number 1
loop_
_space_group_symop_operation_xyz
'x,y,z'
loop_
_atom_site_label
_atom_site_type_symbol
_atom_site_fract_x
_atom_site_fract_y
_atom_site_fract_z
_atom_site_occupancy
Zr1 Zr 0.0000 0.0000 0.0000 1
Zr2 Zr 0.0000 0.5000 0.0000 1
Zr3 Zr 0.5000 0.0000 0.0000 1
Zr4 Zr 0.2880 0.2880 0.5000 1
Zr5 Zr 0.7120 0.7120 0.5000 1
Be1 Be 0.5000 0.5000 0.0000 1
Be2 Be 0.7807 0.2193 0.5000 1
Be3 Be 0.2193 0.7807 0.5000 1
# Total energy in eV/atom: -6.67
# Formation energy in meV per atom: 73
# Volume in Å³/cell: 143.8
# Energy above the most stable polymorph in this dataset in eV/atom: 0.092



Record 6
# YTm3Zn2 | Alexandria | PBE-GGA | optimized geometry
data_YTm3Zn2
_cell_length_a 4.9370
_cell_length_b 6.7818
_cell_length_c 8.9552
_cell_angle_alpha 90.00
_cell_angle_beta 90.00
_cell_angle_gamma 90.00
_space_group_name_H-M_alt 'P 1'
_space_group_IT_number 1
loop_
_space_group_symop_operation_xyz
'x,y,z'
loop_
_atom_site_label
_atom_site_type_symbol
_atom_site_fract_x
_atom_site_fract_y
_atom_site_fract_z
_atom_site_occupancy
Y1 Y 0.5000 0.5177 0.5571 1
Y2 Y 0.5000 0.0177 0.4429 1
Tm1 Tm 0.0000 0.4816 0.9419 1
Tm2 Tm 0.0000 0.9816 0.0581 1
Tm3 Tm 0.5000 0.6645 0.1727 1
Tm4 Tm 0.5000 0.1645 0.8273 1
Tm5 Tm 0.0000 0.3367 0.3207 1
Tm6 Tm 0.0000 0.8367 0.6793 1
Zn1 Zn 0.5000 0.7319 0.8526 1
Zn2 Zn 0.5000 0.2319 0.1474 1
Zn3 Zn 0.0000 0.2676 0.6476 1
Zn4 Zn 0.0000 0.7676 0.3524 1
# Total energy in eV/atom: -3.98
# Formation energy in meV per atom: -242
# Volume in Å³/cell: 299.8
# Energy above the most stable polymorph in this dataset in eV/atom: 0.000



Record 7
# BaLa2MgNi | Alexandria | PBE-GGA | optimized geometry
data_BaLa2MgNi
_cell_length_a 5.5677
_cell_length_b 5.5677
_cell_length_c 5.3826
_cell_angle_alpha 90.00
_cell_angle_beta 90.00
_cell_angle_gamma 90.00
_space_group_name_H-M_alt 'P 1'
_space_group_IT_number 1
loop_
_space_group_symop_operation_xyz
'x,y,z'
loop_
_atom_site_label
_atom_site_type_symbol
_atom_site_fract_x
_atom_site_fract_y
_atom_site_fract_z
_atom_site_occupancy
Ni1 Ni 0.0000 0.0000 0.0000 1
Mg1 Mg 0.0000 0.0000 0.5000 1
Ba1 Ba 0.5000 0.5000 0.5000 1
La1 La 0.0000 0.5000 0.0000 1
La2 La 0.5000 0.0000 0.0000 1
# Total energy in eV/atom: -3.89
# Formation energy in meV per atom: -55
# Volume in Å³/cell: 166.9



Record 8
# ScMn2 | Alexandria | PBE-GGA | optimized geometry
data_ScMn2
_cell_length_a 7.5266
_cell_length_b 7.5266
_cell_length_c 4.5267
_cell_angle_alpha 90.00
_cell_angle_beta 90.00
_cell_angle_gamma 157.43
_space_group_name_H-M_alt 'P 1'
_space_group_IT_number 1
loop_
_space_group_symop_operation_xyz
'x,y,z'
loop_
_atom_site_label
_atom_site_type_symbol
_atom_site_fract_x
_atom_site_fract_y
_atom_site_fract_z
_atom_site_occupancy
Sc1 Sc 0.8930 0.1070 0.2500 1
Sc2 Sc 0.1070 0.8930 0.7500 1
Mn1 Mn 0.2211 0.7789 0.2500 1
Mn2 Mn 0.4423 0.5577 0.7500 1
Mn3 Mn 0.5577 0.4423 0.2500 1
Mn4 Mn 0.7789 0.2211 0.7500 1
# Total energy in eV/atom: -8.01
# Formation energy in meV per atom: 216
# Volume in Å³/cell: 98.4



Record 9
# Mg2AlCl | Alexandria | PBE-GGA | optimized geometry
data_Mg2AlCl
_cell_length_a 3.1171
_cell_length_b 5.7293
_cell_length_c 4.9723
_cell_angle_alpha 90.00
_cell_angle_beta 90.00
_cell_angle_gamma 90.00
_space_group_name_H-M_alt 'P 1'
_space_group_IT_number 1
loop_
_space_group_symop_operation_xyz
'x,y,z'
loop_
_atom_site_label
_atom_site_type_symbol
_atom_site_fract_x
_atom_site_fract_y
_atom_site_fract_z
_atom_site_occupancy
Al1 Al 0.5000 0.0000 0.5000 1
Cl1 Cl 0.0000 0.5000 0.5000 1
Mg1 Mg 0.0000 0.0000 0.0000 1
Mg2 Mg 0.5000 0.5000 0.0000 1
# Total energy in eV/atom: -2.35
# Formation energy without anion corrections in eV per atom: -0.15
# Volume in Å³/cell: 88.8
# Energy above the most stable polymorph in this dataset in eV/atom: 0.346



Record 10
# Ba2CaTi | Alexandria | PBE-GGA | optimized geometry
data_Ba2CaTi
_cell_length_a 6.1189
_cell_length_b 6.1189
_cell_length_c 6.1189
_cell_angle_alpha 60.00
_cell_angle_beta 60.00
_cell_angle_gamma 60.00
_space_group_name_H-M_alt 'P 1'
_space_group_IT_number 1
loop_
_space_group_symop_operation_xyz
'x,y,z'
loop_
_atom_site_label
_atom_site_type_symbol
_atom_site_fract_x
_atom_site_fract_y
_atom_site_fract_z
_atom_site_occupancy
Ca1 Ca 0.0000 0.0000 0.0000 1
Ba1 Ba 0.2500 0.2500 0.2500 1
Ba2 Ba 0.7500 0.7500 0.7500 1
Ti1 Ti 0.5000 0.5000 0.5000 1
# Total energy in eV/atom: -2.81
# Formation energy in meV per atom: 626
# Volume in Å³/cell: 162.0
# Energy above the most stable polymorph in this dataset in eV/atom: 0.000